Record 1
Below is an optimized crystal structure of TaHF2, with properties calculated at the GGA-PBE level.

total magnetic moment: 0.0 μB per formula unit
N(E_F): 0.000 states/eV per atom
symmetry: I-42d
excess energy over the best structure of this formula in the dataset: 641 meV/atom

a = 5.022 Å, b = 5.022 Å, c = 5.022 Å
α = 125.54°, β = 125.54°, γ = 80.64°
Atoms (fractional coordinates):
Ta  0.000  0.000  0.000
Ta  0.750  0.250  0.500
H  0.250  0.750  0.500
H  0.500  0.500  0.000
F  0.291  0.625  0.166
F  0.375  0.541  0.666
F  0.459  0.125  0.834
F  0.875  0.709  0.334


Record 2
Below is an optimized crystal structure of TaH3F, with properties calculated at the GGA-PBE level.

total magnetic moment: 0.0 μB per formula unit
N(E_F): 0.260 states/eV per atom
symmetry: Pm-3m
excess energy over the best structure of this formula in the dataset: 0 meV/atom

a = 3.600 Å, b = 3.600 Å, c = 3.600 Å
α = 90.00°, β = 90.00°, γ = 90.00°
Atoms (fractional coordinates):
Ta  0.000  0.000  0.000
H  0.000  0.000  0.500
H  0.000  0.500  0.000
H  0.500  0.000  0.000
F  0.500  0.500  0.500


Record 3
Below is an optimized crystal structure of TaH3F, with properties calculated at the GGA-PBE level.

total magnetic moment: 0.0 μB per formula unit
N(E_F): 0.529 states/eV per atom
symmetry: Pm-3m
excess energy over the best structure of this formula in the dataset: 796 meV/atom

a = 3.381 Å, b = 3.381 Å, c = 3.381 Å
α = 90.00°, β = 90.00°, γ = 90.00°
Atoms (fractional coordinates):
Ta  0.000  0.000  0.000
H  0.000  0.500  0.500
H  0.500  0.000  0.500
H  0.500  0.500  0.000
F  0.500  0.500  0.500


Record 4
Below is an optimized crystal structure of TaTcHF2, with properties calculated at the GGA-PBE level.

E_tot: -28.60 eV for the cell shown
total magnetic moment: 0.3 μB per formula unit
N(E_F): 0.762 states/eV per atom
symmetry: P4/mmm

a = 3.666 Å, b = 3.666 Å, c = 4.191 Å
α = 90.00°, β = 90.00°, γ = 90.00°
Atoms (fractional coordinates):
Ta  0.000  0.000  0.000
Tc  0.500  0.500  0.000
H  0.500  0.500  0.500
F  0.000  0.500  0.500
F  0.500  0.000  0.500


Record 5
Below is an optimized crystal structure of Tb2HF8, with properties calculated at the GGA-PBE level.

E_tot: -59.81 eV for the cell shown
total magnetic moment: 1.0 μB per formula unit
N(E_F): 0.514 states/eV per atom
symmetry: C2/m

a = 6.069 Å, b = 6.069 Å, c = 4.260 Å
α = 103.86°, β = 103.86°, γ = 67.33°
Atoms (fractional coordinates):
Tb  0.179  0.179  0.392
Tb  0.821  0.821  0.608
H  0.500  0.500  0.500
F  0.061  0.061  0.808
F  0.201  0.562  0.534
F  0.284  0.284  0.965
F  0.438  0.799  0.466
F  0.562  0.201  0.534
F  0.716  0.716  0.035
F  0.799  0.438  0.466
F  0.939  0.939  0.192


Record 6
Below is an optimized crystal structure of TbH2F, with properties calculated at the GGA-PBE level.

E_tot: -17.45 eV for the cell shown
total magnetic moment: 0.0 μB per formula unit
N(E_F): 0.317 states/eV per atom
symmetry: P4/mmm

a = 3.213 Å, b = 3.213 Å, c = 4.439 Å
α = 90.00°, β = 90.00°, γ = 90.00°
Atoms (fractional coordinates):
Tb  0.000  0.000  0.000
H  0.500  0.500  0.221
H  0.500  0.500  0.779
F  0.000  0.000  0.500


> The highest N(E_F) belongs to which entry?

TaTcHF2


Repeat the sixth record exactly.
Below is an optimized crystal structure of TbH2F, with properties calculated at the GGA-PBE level.

E_tot: -17.45 eV for the cell shown
total magnetic moment: 0.0 μB per formula unit
N(E_F): 0.317 states/eV per atom
symmetry: P4/mmm

a = 3.213 Å, b = 3.213 Å, c = 4.439 Å
α = 90.00°, β = 90.00°, γ = 90.00°
Atoms (fractional coordinates):
Tb  0.000  0.000  0.000
H  0.500  0.500  0.221
H  0.500  0.500  0.779
F  0.000  0.000  0.500


Repeat the fifth record exactly.
Below is an optimized crystal structure of Tb2HF8, with properties calculated at the GGA-PBE level.

E_tot: -59.81 eV for the cell shown
total magnetic moment: 1.0 μB per formula unit
N(E_F): 0.514 states/eV per atom
symmetry: C2/m

a = 6.069 Å, b = 6.069 Å, c = 4.260 Å
α = 103.86°, β = 103.86°, γ = 67.33°
Atoms (fractional coordinates):
Tb  0.179  0.179  0.392
Tb  0.821  0.821  0.608
H  0.500  0.500  0.500
F  0.061  0.061  0.808
F  0.201  0.562  0.534
F  0.284  0.284  0.965
F  0.438  0.799  0.466
F  0.562  0.201  0.534
F  0.716  0.716  0.035
F  0.799  0.438  0.466
F  0.939  0.939  0.192